The following is a DFT calculation (PBE-GGA) of a geometry-optimized PmSm3Dy3Te8 structure.

Cell: 8.7668 8.7668 8.7743 Å, 119.97 90.00 120.00°
Positions (direct):
Pm (0.0000, 0.0000, 0.5000)
Sm (0.0000, 0.0000, 0.0000)
Sm (0.0000, 0.5000, 0.0000)
Sm (0.5000, 0.5000, 0.0000)
Dy (0.5000, 0.0000, 0.5000)
Dy (0.5000, 0.5000, 0.5000)
Dy (0.0000, 0.5000, 0.5000)
Te (0.2524, 0.5048, 0.2572)
Te (0.7476, 0.4952, 0.7428)
Te (0.7416, 0.4832, 0.2465)
Te (0.2584, 0.5168, 0.7535)
Te (0.7416, 0.0049, 0.2465)
Te (0.2584, 0.9951, 0.7535)
Te (0.2632, 0.0049, 0.2465)
Te (0.7368, 0.9951, 0.7535)

Values from the calculation:
- D(E_F) (states/eV/atom) = 0.46
- raw formation energy (meV per atom) = -1405

***

The following is a DFT calculation (PBE-GGA) of a geometry-optimized CaCeAg4 structure.

Cell: 5.7788 5.7788 5.7788 Å, 60.00 60.00 60.00°
Each line ends with the local moment (μB).
Positions (direct):
Ca (0.2500, 0.2500, 0.2500)  0.02
Ag (0.6244, 0.6244, 0.1269)  0.01
Ag (0.6244, 0.1269, 0.6244)  0.01
Ag (0.6244, 0.6244, 0.6244)  0.01
Ag (0.1269, 0.6244, 0.6244)  0.01
Ce (0.0000, 0.0000, 0.0000)  0.97

Values from the calculation:
- D(E_F) (states/eV/atom) = 1.84
- energy relative to the lowest polymorph listed for this composition (eV per atom) = 0.062
- ΔH_f (0 K) (meV per atom) = -129

***

The following is a DFT calculation (PBE-GGA) of a geometry-optimized NdEr2Tm8 structure.

Cell: 5.3715 8.2523 8.9989 Å, 115.07 107.36 90.00°
Positions (direct):
Nd (0.5000, 0.0000, 0.0000)
Er (0.7981, 0.3419, 0.5962)
Er (0.2019, 0.6581, 0.4038)
Tm (0.3819, 0.5559, 0.7637)
Tm (0.6670, 0.8937, 0.3340)
Tm (0.8401, 0.8008, 0.6801)
Tm (0.9811, 0.2779, 0.9622)
Tm (0.1599, 0.1992, 0.3199)
Tm (0.3330, 0.1063, 0.6660)
Tm (0.6181, 0.4441, 0.2363)
Tm (0.0189, 0.7221, 0.0378)

Values from the calculation:
- D(E_F) (states/eV/atom) = 1.66
- ΔH_f (0 K) (meV per atom) = 104

***

The following is a DFT calculation (PBE-GGA) of a geometry-optimized Al4SiNi2 structure.

Cell: 4.0404 4.0404 17.1790 Å, 90.00 90.00 120.00°
Positions (direct):
Ni (0.0000, 0.0000, 0.1786)
Ni (0.0000, 0.0000, 0.8214)
Ni (0.6667, 0.3333, 0.0447)
Ni (0.3333, 0.6667, 0.9553)
Si (0.6667, 0.3333, 0.5987)
Si (0.3333, 0.6667, 0.4013)
Al (0.6667, 0.3333, 0.7413)
Al (0.3333, 0.6667, 0.2587)
Al (0.6667, 0.3333, 0.4465)
Al (0.3333, 0.6667, 0.5535)
Al (0.6667, 0.3333, 0.1841)
Al (0.3333, 0.6667, 0.8159)
Al (0.6667, 0.3333, 0.9063)
Al (0.3333, 0.6667, 0.0937)

Values from the calculation:
- D(E_F) (states/eV/atom) = 0.69
- raw formation energy (meV per atom) = -67
- energy relative to the lowest polymorph listed for this composition (eV per atom) = 0.237